Here is an optimized crystal structure of TiSeF from Alexandria via LeMat-Bulk. Energies are from PBE.

a = 3.4632 Å, b = 6.3627 Å, c = 9.4587 Å
α = 90.00°, β = 90.00°, γ = 90.00°
With the nearest neighbours (Å) after each atom.
Positions (direct):
Se  0.2500  0.5728  0.8218  4 Ti 2.54-2.75
F  0.2500  0.1497  0.9552  2 Ti 2.03
Ti  0.2500  0.8089  0.5779  2 F 2.03
Ti  0.2500  0.6911  0.0779  2 F 2.03
Se  0.2500  0.9272  0.3218  4 Ti 2.54-2.75
F  0.7500  0.8503  0.0448  2 Ti 2.03
Se  0.7500  0.0728  0.6782  4 Ti 2.54-2.75
Ti  0.7500  0.1911  0.4221  2 F 2.03
Se  0.7500  0.4272  0.1782  4 Ti 2.54-2.75
F  0.2500  0.3503  0.4552  2 Ti 2.03
Ti  0.7500  0.3089  0.9221  2 F 2.03
F  0.7500  0.6497  0.5448  2 Ti 2.03

Values from the calculation:
formation energy without anion corrections = -195 kJ per mole of atoms
density of states at the Fermi level = 1.657 states/eV/cell

---

Here is an optimized crystal structure of TiSeF2 from Alexandria via LeMat-Bulk. Energies are from PBE.

a = 4.1877 Å, b = 4.1877 Å, c = 4.1877 Å
α = 60.00°, β = 60.00°, γ = 60.00°
With the nearest neighbours (Å) after each atom.
Positions (direct):
Ti  0.0000  0.0000  0.0000  8 F 2.56
Se  0.5000  0.5000  0.5000  8 F 2.56
F  0.2500  0.2500  0.2500  4 Se 2.56, 4 Ti 2.56
F  0.7500  0.7500  0.7500  4 Se 2.56, 4 Ti 2.56

Values from the calculation:
relative energy among the computed polymorphs = 0.666 eV/atom
formation energy without anion corrections = -117 kJ per mole of atoms
density of states at the Fermi level = 0.465 states/eV/cell

---

Here is an optimized crystal structure of TiSeF3 from Alexandria via LeMat-Bulk. Energies are from PBE.

a = 4.4666 Å, b = 4.4666 Å, c = 4.4666 Å
α = 90.00°, β = 90.00°, γ = 90.00°
With the nearest neighbours (Å) after each atom.
Positions (direct):
F  0.0000  0.0000  0.5000  2 Se 2.23
Se  0.0000  0.0000  0.0000  6 F 2.23
F  0.5000  0.0000  0.0000  2 Se 2.23
F  0.0000  0.5000  0.0000  2 Se 2.23
Ti  0.5000  0.5000  0.5000  12 F 3.16

Values from the calculation:
relative energy among the computed polymorphs = 2.072 eV/atom
formation energy without anion corrections = -48 kJ per mole of atoms
density of states at the Fermi level = 11.545 states/eV/cell

---

Here is an optimized crystal structure of Ti3SeF from Alexandria via LeMat-Bulk. Energies are from PBE.

a = 4.1754 Å, b = 4.1754 Å, c = 4.1754 Å
α = 90.00°, β = 90.00°, γ = 90.00°
With the nearest neighbours (Å) after each atom.
Positions (direct):
Ti  0.0000  0.0000  0.5000  2 F 2.09
Ti  0.5000  0.0000  0.0000  2 F 2.09
Ti  0.0000  0.5000  0.0000  2 F 2.09
Se  0.5000  0.5000  0.5000  12 Ti 2.95
F  0.0000  0.0000  0.0000  6 Ti 2.09

Values from the calculation:
relative energy among the computed polymorphs = 0.000 eV/atom
formation energy without anion corrections = -55 kJ per mole of atoms
density of states at the Fermi level = 5.389 states/eV/cell

---

Here is an optimized crystal structure of TiSeF from Alexandria via LeMat-Bulk. Energies are from PBE.

a = 3.3844 Å, b = 3.3844 Å, c = 5.8877 Å
α = 90.00°, β = 90.00°, γ = 120.00°
With the nearest neighbours (Å) after each atom.
Positions (direct):
Se  0.3333  0.6667  0.5714  3 Ti 2.52
F  0.0000  0.0000  0.1268  3 Ti 2.21
Ti  0.6667  0.3333  0.3019  3 F 2.21

Values from the calculation:
formation energy without anion corrections = -181 kJ per mole of atoms
density of states at the Fermi level = 1.730 states/eV/cell

---

Here is an optimized crystal structure of Ti2SeF from Alexandria via LeMat-Bulk. Energies are from PBE.

a = 4.3193 Å, b = 4.3193 Å, c = 4.3193 Å
α = 60.00°, β = 60.00°, γ = 60.00°
With the nearest neighbours (Å) after each atom.
Positions (direct):
Se  0.5000  0.5000  0.5000  8 Ti 2.65
Ti  0.2500  0.2500  0.2500  4 Se 2.65, 4 F 2.65
Ti  0.7500  0.7500  0.7500  4 F 2.65, 4 Se 2.65
F  0.0000  0.0000  0.0000  8 Ti 2.65

Values from the calculation:
relative energy among the computed polymorphs = 0.000 eV/atom
formation energy without anion corrections = -109 kJ per mole of atoms
density of states at the Fermi level = 3.075 states/eV/cell